First-principles (PBE-GGA) data for an optimized crystal structure of Np2Al7Au12, as listed in the Alexandria database.

Lattice parameters (Å, degrees): 4.1716 10.5028 10.5029 120.00 90.00 90.00
Fractional coordinates of all 21 atoms:
Au  0.2356  0.7381  0.8662
Al  0.7383  0.1042  0.7046
Au  0.2356  0.1338  0.8719
Au  0.7549  0.5473  0.6265
Au  0.2356  0.1281  0.2619
Al  0.7383  0.6004  0.8958
Al  0.2617  0.8958  0.2954
Au  0.2451  0.6265  0.0793
Au  0.7644  0.8719  0.7381
Au  0.2451  0.4527  0.3735
Np  0.2424  0.3333  0.6667
Al  0.7383  0.2954  0.3996
Al  0.5000  0.0000  0.0000
Al  0.2617  0.3996  0.1042
Au  0.7549  0.3735  0.9207
Au  0.7549  0.0793  0.4527
Au  0.7644  0.8662  0.1281
Al  0.2617  0.7046  0.6004
Au  0.2451  0.9207  0.5473
Np  0.7576  0.6667  0.3333
Au  0.7644  0.2619  0.1338

Calculated values
Density ... 12.6 g cm⁻³
Energy relative to the elements ... -0.322 eV/atom
DOS(E_F) ... 20.83 states/eV/f.u.